one) TlTe3Pt, optimized geometry, DFT GGA-PBE; SG = Pm-3m; calculated volume = 182.6 Å³ per cell
1.0
5.673 0.000 0.000
0.000 5.673 0.000
0.000 0.000 5.673
Tl Te Pt
1 3 1
direct
0.000 0.000 0.000
0.000 0.000 0.500
0.000 0.500 0.000
0.500 0.000 0.000
0.500 0.500 0.500

---

two) TlTe3Pt, optimized geometry, DFT GGA-PBE; SG = Pm-3m; calculated volume = 158.8 Å³ per cell
1.0
5.415 0.000 0.000
0.000 5.415 0.000
0.000 0.000 5.415
Tl Te Pt
1 3 1
direct
0.000 0.000 0.000
0.000 0.500 0.500
0.500 0.000 0.500
0.500 0.500 0.000
0.500 0.500 0.500

---

Quick one: most stable of them? two)

---

one) VTePt3, optimized geometry, DFT GGA-PBE; SG = Pm-3m; calculated volume = 103.4 Å³ per cell
1.0
4.694 0.000 0.000
0.000 4.694 0.000
0.000 0.000 4.694
V Te Pt
1 1 3
direct
0.000 0.000 0.000
0.500 0.500 0.500
0.000 0.000 0.500
0.000 0.500 0.000
0.500 0.000 0.000

---

two) VTePt3, optimized geometry, DFT GGA-PBE; SG = Pm-3m; calculated volume = 119.2 Å³ per cell
1.0
4.922 0.000 0.000
0.000 4.922 0.000
0.000 0.000 4.922
V Te Pt
1 1 3
direct
0.000 0.000 0.000
0.500 0.500 0.500
0.000 0.500 0.500
0.500 0.000 0.500
0.500 0.500 0.000

---

Quick one: most stable of them? one)

---

one) VTe4Pt, optimized geometry, DFT GGA-PBE; SG = P1; calculated volume = 167.5 Å³ per cell
1.0
3.827 0.000 0.000
0.004 6.803 0.000
1.906 1.165 6.434
V Te Pt
1 4 1
direct
0.000 0.000 0.000
0.118 0.375 0.762
0.378 0.131 0.244
0.622 0.870 0.755
0.881 0.626 0.239
0.500 0.501 0.000

---

two) VTe4Pt, optimized geometry, DFT GGA-PBE; SG = P2/m; calculated volume = 160.3 Å³ per cell
1.0
5.941 0.000 0.000
0.000 3.915 0.000
-0.066 0.000 6.893
V Te Pt
1 4 1
direct
0.000 0.000 0.000
0.246 0.000 0.334
0.259 0.500 0.834
0.741 0.500 0.166
0.754 0.000 0.666
0.000 0.500 0.500

---

Quick one: most stable of them? two)

---

one) TePtW, optimized geometry, DFT GGA-PBE; SG = F-43m; calculated volume = 60.7 Å³ per cell
1.0
0.000 3.120 3.120
3.120 0.000 3.120
3.120 3.120 0.000
Te Pt W
1 1 1
direct
0.000 0.000 0.000
0.750 0.750 0.750
0.250 0.250 0.250

---

two) TePtW, optimized geometry, DFT GGA-PBE; SG = I4mm; calculated volume = 59.5 Å³ per cell
1.0
-1.547 1.547 6.208
1.547 -1.547 6.208
1.547 1.547 -6.208
Te Pt W
1 1 1
direct
0.000 0.000 0.000
0.722 0.722 0.000
0.357 0.357 0.000

---

Quick one: most stable of them? two)

---

one) TePtW, optimized geometry, DFT GGA-PBE; SG = P3m1; calculated volume = 57.2 Å³ per cell
1.0
3.196 0.000 0.000
-1.598 2.768 0.000
0.000 0.000 6.462
Te Pt W
1 1 1
direct
0.000 0.000 0.000
0.333 0.667 0.622
0.667 0.333 0.318

---

two) TePtW, optimized geometry, DFT GGA-PBE; SG = P3m1; calculated volume = 55.4 Å³ per cell
1.0
4.660 0.000 0.000
-2.330 4.036 0.000
0.000 0.000 2.946
Te Pt W
1 1 1
direct
0.000 0.000 0.000
0.333 0.667 0.507
0.667 0.333 0.009

---

three) TePtW, optimized geometry, DFT GGA-PBE; SG = Amm2; calculated volume = 119.2 Å³ per cell
1.0
12.969 0.000 0.000
0.000 1.629 2.821
0.000 -1.629 2.821
Te Pt W
2 2 2
direct
0.198 0.000 0.000
0.802 0.000 0.000
0.000 0.997 0.997
0.500 0.000 0.000
0.345 0.667 0.667
0.655 0.667 0.667

---

Quick one: most stable of them? three)

---

one) TePtW3, optimized geometry, DFT GGA-PBE; SG = Pm-3m; calculated volume = 113.6 Å³ per cell
1.0
4.843 0.000 0.000
0.000 4.843 0.000
0.000 0.000 4.843
Te Pt W
1 1 3
direct
0.000 0.000 0.000
0.500 0.500 0.500
0.000 0.500 0.500
0.500 0.000 0.500
0.500 0.500 0.000

---

two) TePtW3, optimized geometry, DFT GGA-PBE; SG = Pm-3m; calculated volume = 111.6 Å³ per cell
1.0
4.815 0.000 0.000
0.000 4.815 0.000
0.000 0.000 4.815
Te Pt W
1 1 3
direct
0.000 0.000 0.000
0.500 0.500 0.500
0.000 0.000 0.500
0.000 0.500 0.000
0.500 0.000 0.000

---

Quick one: most stable of them? one)

---

one) YTePt3, optimized geometry, DFT GGA-PBE; SG = Pm-3m; calculated volume = 133.0 Å³ per cell
1.0
5.104 0.000 0.000
0.000 5.104 0.000
0.000 0.000 5.104
Y Te Pt
1 1 3
direct
0.000 0.000 0.000
0.500 0.500 0.500
0.000 0.000 0.500
0.000 0.500 0.000
0.500 0.000 0.000

---

two) YTePt3, optimized geometry, DFT GGA-PBE; SG = Pm-3m; calculated volume = 121.9 Å³ per cell
1.0
4.958 0.000 0.000
0.000 4.958 0.000
0.000 0.000 4.958
Y Te Pt
1 1 3
direct
0.000 0.000 0.000
0.500 0.500 0.500
0.000 0.500 0.500
0.500 0.000 0.500
0.500 0.500 0.000

---

Quick one: most stable of them? two)

---

one) Y4TePt, optimized geometry, DFT GGA-PBE; SG = Pnma; calculated volume = 647.3 Å³ per cell
1.0
8.305 0.000 0.000
0.000 3.979 0.000
0.000 0.000 19.589
Y Te Pt
16 4 4
direct
0.008 0.250 0.069
0.037 0.750 0.217
0.141 0.750 0.448
0.142 0.750 0.651
0.358 0.250 0.151
0.359 0.250 0.948
0.463 0.250 0.717
0.492 0.750 0.569
0.508 0.250 0.431
0.537 0.750 0.283
0.641 0.750 0.052
0.642 0.750 0.849
0.858 0.250 0.349
0.859 0.250 0.552
0.963 0.250 0.783
0.992 0.750 0.931
0.238 0.250 0.313
0.262 0.750 0.813
0.738 0.250 0.187
0.762 0.750 0.687
0.236 0.250 0.549
0.264 0.750 0.049
0.736 0.250 0.951
0.764 0.750 0.451

---

two) Y4TePt, optimized geometry, DFT GGA-PBE; SG = F-43m; calculated volume = 163.8 Å³ per cell
1.0
0.000 4.343 4.343
4.343 0.000 4.343
4.343 4.343 0.000
Y Te Pt
4 1 1
direct
0.125 0.125 0.125
0.125 0.125 0.626
0.125 0.626 0.125
0.626 0.125 0.125
0.500 0.500 0.500
0.750 0.750 0.750

---

Quick one: most stable of them? one)